Model w:
GaCuMo: optimized geometry, PBE-GGA.

Geometry as CIF:
```
data_GaCuMo
_cell_length_a 2.689
_cell_length_b 2.689
_cell_length_c 6.236
_cell_angle_alpha 102.45
_cell_angle_beta 102.45
_cell_angle_gamma 90.00
_symmetry_space_group_name_H-M 'P 1'
_symmetry_Int_Tables_number 1
_symmetry_space_group_name_Hall 'P 1'
loop_
_atom_site_label
_atom_site_type_symbol
_atom_site_fract_x
_atom_site_fract_y
_atom_site_fract_z
Cu1 Cu 0.330 0.330 0.659
Ga1 Ga 0.673 0.673 0.345
Mo1 Mo 0.998 0.998 0.996
```

Properties
Crystal system = tetragonal
D(E_F) = 0.380 states/eV per atom
Magnetic moment = 0.000 Bohr magnetons per cell

---

Model x:
GaCuMo: optimized geometry, PBE-GGA.

Geometry as CIF:
```
data_GaCuMo
_cell_length_a 2.783
_cell_length_b 4.217
_cell_length_c 4.217
_cell_angle_alpha 120.00
_cell_angle_beta 90.00
_cell_angle_gamma 90.00
_symmetry_space_group_name_H-M 'P 1'
_symmetry_Int_Tables_number 1
_symmetry_space_group_name_Hall 'P 1'
loop_
_atom_site_label
_atom_site_type_symbol
_atom_site_fract_x
_atom_site_fract_y
_atom_site_fract_z
Ga1 Ga 0.834 0.333 0.667
Cu1 Cu 0.833 0.000 0.000
Mo1 Mo 0.333 0.667 0.333
```

Properties
Crystal system = hexagonal
D(E_F) = 0.755 states/eV per atom
Magnetic moment = 0.000 Bohr magnetons per cell

---

Model y:
GaCuMo: optimized geometry, PBE-GGA.

Geometry as CIF:
```
data_GaCuMo
_cell_length_a 4.296
_cell_length_b 4.296
_cell_length_c 5.365
_cell_angle_alpha 90.00
_cell_angle_beta 90.00
_cell_angle_gamma 120.00
_symmetry_space_group_name_H-M 'P 1'
_symmetry_Int_Tables_number 1
_symmetry_space_group_name_Hall 'P 1'
loop_
_atom_site_label
_atom_site_type_symbol
_atom_site_fract_x
_atom_site_fract_y
_atom_site_fract_z
Mo1 Mo 0.000 0.000 0.239
Ga1 Ga 0.333 0.667 0.500
Mo2 Mo 0.000 0.000 0.761
Cu1 Cu 0.333 0.667 0.000
Cu2 Cu 0.667 0.333 0.000
Ga2 Ga 0.667 0.333 0.500
```

Properties
Crystal system = hexagonal
D(E_F) = 0.718 states/eV per atom
Magnetic moment = 0.000 Bohr magnetons per cell

---

How do the energies compare? Relative to the most stable structure, in meV per atom: model w 0; model x 21; model y 107.

---

Model w:
GaCuMo2: optimized geometry, PBE-GGA.

Geometry as CIF:
```
data_GaCuMo2
_cell_length_a 6.931
_cell_length_b 6.931
_cell_length_c 5.558
_cell_angle_alpha 51.43
_cell_angle_beta 51.43
_cell_angle_gamma 90.00
_symmetry_space_group_name_H-M 'P 1'
_symmetry_Int_Tables_number 1
_symmetry_space_group_name_Hall 'P 1'
loop_
_atom_site_label
_atom_site_type_symbol
_atom_site_fract_x
_atom_site_fract_y
_atom_site_fract_z
Mo1 Mo 0.129 0.625 0.250
Ga1 Ga 0.000 0.000 0.000
Mo2 Mo 0.621 0.125 0.250
Mo3 Mo 0.375 0.379 0.750
Cu1 Cu 0.250 0.750 0.500
Ga2 Ga 0.750 0.250 0.500
Cu2 Cu 0.500 0.500 0.000
Mo4 Mo 0.875 0.871 0.750
```

Properties
Crystal system = tetragonal
D(E_F) = 0.510 states/eV per atom
Magnetic moment = 0.000 Bohr magnetons per cell

---

Model x:
GaCuMo2: optimized geometry, PBE-GGA.

Geometry as CIF:
```
data_GaCuMo2
_cell_length_a 4.351
_cell_length_b 4.351
_cell_length_c 4.351
_cell_angle_alpha 60.00
_cell_angle_beta 60.00
_cell_angle_gamma 60.00
_symmetry_space_group_name_H-M 'P 1'
_symmetry_Int_Tables_number 1
_symmetry_space_group_name_Hall 'P 1'
loop_
_atom_site_label
_atom_site_type_symbol
_atom_site_fract_x
_atom_site_fract_y
_atom_site_fract_z
Cu1 Cu 0.000 0.000 0.000
Mo1 Mo 0.250 0.250 0.250
Mo2 Mo 0.750 0.750 0.750
Ga1 Ga 0.500 0.500 0.500
```

Properties
Crystal system = cubic
D(E_F) = 1.524 states/eV per atom
Magnetic moment = 0.000 Bohr magnetons per cell

---

How do the energies compare? Relative to the most stable structure, in meV per atom: model w 300; model x 0.